# 1
Computed, not measured: a geometry-optimized Li2CaNpBr8 structure at the GGA-PBE level of DFT.

abc: 7.019 7.237 8.649
angles: 73.38 89.44 77.25
Space group P-1 (No. 2)
Symmetry-distinct sites (fractional):
Li: 0.046 0.144 0.327 (multiplicity 2)
Ca: 0.500 0.500 0.500 (multiplicity 1)
Np: 0.500 0.500 0.000 (multiplicity 1)
Br: 0.124 0.769 0.438 (multiplicity 2)
Br: 0.139 0.754 0.949 (multiplicity 2)
Br: 0.378 0.286 0.816 (multiplicity 2)
Br: 0.381 0.268 0.294 (multiplicity 2)

E_form (uncorrected)	-1753	kJ/mol of formula units
density	3.8	g/cm³
magnetization	3.0	Bohr magnetons per cell

=====

# 2
Computed, not measured: a geometry-optimized LiCaPbBr2 structure at the GGA-PBE level of DFT.

abc: 5.348 5.348 6.301
angles: 90.00 90.00 90.00
Space group P4/mmm (No. 123)
Symmetry-distinct sites (fractional):
Li: 0.000 0.000 0.000 (multiplicity 1)
Ca: 0.000 0.000 0.500 (multiplicity 1)
Pb: 0.500 0.500 0.500 (multiplicity 1)
Br: 0.000 0.500 0.000 (multiplicity 2)

E_form (uncorrected)	-243	kJ/mol of formula units
density	3.8	g/cm³
magnetization	0.6	Bohr magnetons per cell

=====

# 3
Computed, not measured: a geometry-optimized LiCaPbBr5 structure at the GGA-PBE level of DFT.

abc: 9.180 12.377 10.427
angles: 90.00 114.64 90.00
Space group C2/c (No. 15)
Symmetry-distinct sites (fractional):
Li: 0.000 0.184 0.250 (multiplicity 4)
Ca: 0.000 0.500 0.000 (multiplicity 4)
Pb: 0.000 0.135 0.750 (multiplicity 4)
Br: 0.000 0.393 0.750 (multiplicity 4)
Br: 0.145 0.304 0.148 (multiplicity 8)
Br: 0.164 0.052 0.443 (multiplicity 8)

E_form (uncorrected)	-1107	kJ/mol of formula units
density	4.0	g/cm³
magnetization	0.0	Bohr magnetons per cell

=====

# 4
Computed, not measured: a geometry-optimized LiCaPmBr6 structure at the GGA-PBE level of DFT.

abc: 7.1264 7.1264 13.0209
angles: 90.00 90.00 120.00
Space group P-31c (No. 163)
Symmetry-distinct sites (fractional):
Li: 0.3333 0.6667 0.2500 (multiplicity 2)
Ca: 0.0000 0.0000 0.0000 (multiplicity 2)
Pm: 0.3333 0.6667 0.7500 (multiplicity 2)
Br: 0.0108 0.3476 0.1271 (multiplicity 12)

E_form (uncorrected)	-1585	kJ/mol of formula units
density	3.9	g/cm³
magnetization	0.0	Bohr magnetons per cell

=====

# 5
Computed, not measured: a geometry-optimized LiCaPuBr6 structure at the GGA-PBE level of DFT.

abc: 7.1322 7.1322 12.9792
angles: 90.00 90.00 120.00
Space group P-31c (No. 163)
Symmetry-distinct sites (fractional):
Li: 0.3333 0.6667 0.2500 (multiplicity 2)
Ca: 0.0000 0.0000 0.0000 (multiplicity 2)
Pu: 0.3333 0.6667 0.7500 (multiplicity 2)
Br: 0.0112 0.3472 0.1277 (multiplicity 12)

E_form (uncorrected)	-1439	kJ/mol of formula units
density	4.5	g/cm³
magnetization	10.0	Bohr magnetons per cell

=====

# 6
Computed, not measured: a geometry-optimized Li2CaPuBr8 structure at the GGA-PBE level of DFT.

abc: 7.001 7.203 8.633
angles: 73.37 89.55 77.34
Space group P-1 (No. 2)
Symmetry-distinct sites (fractional):
Li: 0.045 0.147 0.327 (multiplicity 2)
Ca: 0.500 0.500 0.500 (multiplicity 1)
Pu: 0.500 0.500 0.000 (multiplicity 1)
Br: 0.123 0.770 0.436 (multiplicity 2)
Br: 0.139 0.754 0.951 (multiplicity 2)
Br: 0.376 0.286 0.816 (multiplicity 2)
Br: 0.382 0.266 0.294 (multiplicity 2)

E_form (uncorrected)	-1776	kJ/mol of formula units
density	3.8	g/cm³
magnetization	4.0	Bohr magnetons per cell

=====

Question: Which value of density does entry 5 give?
Answer: 4.5 g/cm³